(1)
Compound: La2GaHPt
Source: Alexandria
Functional: GGA-PBE
Structure: optimized geometry

Calculated values
Calculated volume: 21.246 Å³ per atom
Density of states at the Fermi level: 0.8306 states/eV per atom
DFT total energy: -25.62 eV/cell

Unit cell a=5.2826 b=5.2826 c=3.8067 alpha=90.00 beta=90.00 gamma=90.00
Fractional positions:
Ga 0.5000 0.5000 0.5000
H 0.0000 0.0000 0.0000
Pt 0.0000 0.0000 0.5000
La 0.5000 0.0000 0.0000
La 0.0000 0.5000 0.0000



(2)
Compound: La2GaHPt6
Source: Alexandria
Functional: GGA-PBE
Structure: optimized geometry

Calculated values
Calculated volume: 17.944 Å³ per atom
Density of states at the Fermi level: 0.4622 states/eV per atom
DFT total energy: -60.77 eV/cell

Unit cell a=5.7741 b=7.0529 c=7.0528 alpha=48.32 beta=65.84 gamma=90.00
Fractional positions:
Pt 0.7693 0.7263 0.4615
Pt 0.7693 0.2305 0.9575
Pt 0.2307 0.2737 0.5385
Pt 0.2733 0.2305 0.9575
Pt 0.7267 0.7695 0.0425
Pt 0.2307 0.7695 0.0425
La 0.7784 0.2217 0.4431
La 0.2216 0.7783 0.5569
H 0.0000 0.0000 0.0000
Ga 0.5000 0.5000 0.0000



(3)
Compound: LaGaHPt2
Source: Alexandria
Functional: GGA-PBE
Structure: optimized geometry

Calculated values
Calculated volume: 16.736 Å³ per atom
Density of states at the Fermi level: 0.3019 states/eV per atom
DFT total energy: -55.62 eV/cell

Unit cell a=4.0237 b=5.9309 c=7.4552 alpha=90.00 beta=90.00 gamma=109.83
Fractional positions:
La 0.5592 0.1185 0.2500
La 0.4408 0.8815 0.7500
H 0.0000 0.0000 0.0000
H 0.0000 0.0000 0.5000
Pt 0.1571 0.3142 0.5552
Pt 0.1571 0.3142 0.9448
Pt 0.8429 0.6858 0.0552
Pt 0.8429 0.6858 0.4448
Ga 0.2750 0.5500 0.2500
Ga 0.7250 0.4500 0.7500